1.
Density functional theory data (PBE) for GdTm2Sn3Ir2Pd after structural relaxation.

Cell lengths 3.8153, 7.6182, 7.6182 Å; angles 120.22, 90.00, 90.00 degrees
Sites, in units of the cell vectors:
Ir  0.5000  0.3324  0.6703
Ir  0.5000  0.6703  0.3324
Gd  0.0000  0.4061  0.4061
Sn  0.5000  0.2669  0.9988
Sn  0.5000  0.9988  0.2669
Sn  0.5000  0.7332  0.7332
Pd  0.0000  0.9974  0.9974
Tm  0.0000  0.5942  0.0007
Tm  0.0000  0.0007  0.5942

## Properties
As for the symmetry: Amm2, No. 38. The calculation puts the volume at 191.3 Å³/cell. The total energy is -56.27 eV/f.u.

2.
Density functional theory data (PBE) for Sb2Ir7 after structural relaxation.

Cell lengths 2.8463, 2.8463, 31.4736 Å; angles 90.00, 90.00, 120.00 degrees
Sites, in units of the cell vectors:
Ir  0.6667  0.3333  0.3615
Ir  0.6667  0.3333  0.5697
Ir  0.0000  0.0000  0.5000
Ir  0.0000  0.0000  0.2912
Ir  0.3333  0.6667  0.4303
Ir  0.3333  0.6667  0.6385
Ir  0.0000  0.0000  0.7088
Sb  0.3333  0.6667  0.2191
Sb  0.6667  0.3333  0.7809

## Properties
As for the symmetry: P-3m1, No. 164. The calculation puts the volume at 220.8 Å³/cell. The total energy is -67.52 eV/f.u.

3.
Density functional theory data (PBE) for Na2Zr2SeS3 after structural relaxation.

Cell lengths 6.6079, 6.6079, 6.5647 Å; angles 115.05, 115.05, 59.87 degrees
Each line ends with the local moment (μB).
Sites, in units of the cell vectors:
Na  0.0032  0.2700  0.3851  0.00
Na  0.7300  0.9968  0.6149  0.00
Zr  0.2408  0.5205  0.0938  0.61
Zr  0.4795  0.7592  0.9062  0.61
S  0.6263  0.3737  0.0000  0.00
S  0.8587  0.6149  0.7847  -0.01
S  0.3851  0.1413  0.2153  -0.01
Se  0.1764  0.8236  0.5000  -0.02

## Properties
As for the symmetry: C2, No. 5. The calculation puts the volume at 216.3 Å³/cell. The total energy is -44.59 eV/f.u.